# PBE+U MgCrF5, relaxed
data_MgCrF5
_space_group_name_H-M_alt 'P 1'
_space_group_IT_number 1
_space_group_name_Hall 'P 1'
_cell_length_a 5.274
_cell_length_b 5.274
_cell_length_c 7.408
_cell_angle_alpha 69.31
_cell_angle_beta 69.31
_cell_angle_gamma 72.30
loop_
_atom_site_label
_atom_site_type_symbol
_atom_site_fract_x
_atom_site_fract_y
_atom_site_fract_z
Mg1 Mg 0.475 0.525 0.750
Mg2 Mg 0.525 0.475 0.250
Cr1 Cr 0.000 0.000 0.000
Cr2 Cr 0.000 0.000 0.500
F1 F 0.887 0.113 0.250
F2 F 0.113 0.887 0.750
F3 F 0.286 0.211 0.366
F4 F 0.789 0.714 0.134
F5 F 0.323 0.716 0.044
F6 F 0.284 0.677 0.456
F7 F 0.677 0.284 0.956
F8 F 0.716 0.323 0.544
F9 F 0.211 0.286 0.866
F10 F 0.714 0.789 0.634
# * DFT total energy: -5.678 eV per atom
# * D(E_F): 0.0 states/eV per cell
# * ρ: 3.2 g cm⁻³
# * energy above the lowest structure with this stoichiometry: 0 meV/atom